No. 1
TmMg2Cd: relaxed, GGA-PBE.

abc: 3.3074 3.3074 31.4085
angles: 90.00 90.00 120.00
Space group R3m (No. 160, hexagonal axes)
Unique sites:
Tm  0.0000  0.0000  0.0000 [3 per cell]
Mg  0.0000  0.0000  0.5775 [3 per cell]
Mg  0.0000  0.0000  0.7544 [3 per cell]
Cd  0.0000  0.0000  0.1659 [3 per cell]

Output
Energy of formation   -0.01 eV per atom
D(E_F)   8.826 states/eV per cell


No. 2
TmMg3Cd: relaxed, GGA-PBE.

abc: 18.271 4.970 5.279
angles: 90.00 93.84 90.00
Space group C2/m (No. 12)
Unique sites:
Tm  0.061  0.000  0.273 [4 per cell]
Mg  0.056  0.500  0.742 [4 per cell]
Mg  0.157  0.000  0.805 [4 per cell]
Mg  0.250  0.000  0.317 [4 per cell]
Cd  0.164  0.500  0.190 [4 per cell]

Output
Energy of formation   -0.07 eV per atom
D(E_F)   11.403 states/eV per cell


No. 3
TmMg4Cd: relaxed, GGA-PBE.

abc: 7.798 4.717 7.852
angles: 90.00 90.00 90.00
Space group Pmma (No. 51)
Unique sites:
Tm  0.250  0.000  0.133 [2 per cell]
Mg  0.000  0.000  0.500 [2 per cell]
Mg  0.048  0.500  0.816 [4 per cell]
Mg  0.250  0.500  0.451 [2 per cell]
Cd  0.250  0.000  0.750 [2 per cell]

Output
Energy of formation   -0.04 eV per atom
D(E_F)   6.560 states/eV per cell


No. 4
Tm3MgCd4: relaxed, GGA-PBE.

abc: 5.089 5.089 7.465
angles: 90.00 90.00 90.00
Space group P4/mmm (No. 123)
Unique sites:
Tm  0.000  0.000  0.000 [1 per cell]
Tm  0.000  0.000  0.500 [1 per cell]
Tm  0.500  0.500  0.000 [1 per cell]
Mg  0.500  0.500  0.500 [1 per cell]
Cd  0.000  0.500  0.260 [4 per cell]

Output
Energy of formation   -0.29 eV per atom
D(E_F)   3.607 states/eV per cell


No. 5
Tm7MgCd4: relaxed, GGA-PBE.

abc: 14.498 5.668 9.366
angles: 90.00 121.63 90.00
Space group C2/m (No. 12)
Unique sites:
Tm  0.000  0.000  0.000 [2 per cell]
Tm  0.075  0.500  0.419 [4 per cell]
Tm  0.197  0.500  0.878 [4 per cell]
Tm  0.245  0.000  0.707 [4 per cell]
Mg  0.000  0.500  0.000 [2 per cell]
Cd  0.039  0.000  0.696 [4 per cell]
Cd  0.182  0.000  0.344 [4 per cell]

Output
Energy of formation   0.00 eV per atom
D(E_F)   24.361 states/eV per cell


No. 6
TmMg2Cd3: relaxed, GGA-PBE.

abc: 4.747 14.458 7.942
angles: 90.00 90.00 90.00
Space group Cmmm (No. 65)
Unique sites:
Tm  0.000  0.163  0.000 [4 per cell]
Mg  0.000  0.163  0.500 [4 per cell]
Mg  0.000  0.500  0.000 [2 per cell]
Mg  0.000  0.500  0.500 [2 per cell]
Cd  0.000  0.000  0.257 [4 per cell]
Cd  0.000  0.333  0.263 [8 per cell]

Output
Energy of formation   -0.19 eV per atom
D(E_F)   11.945 states/eV per cell


No. 7
Tm5Mg4Cd2: relaxed, GGA-PBE.

abc: 8.329 18.967 3.641
angles: 90.00 90.00 90.00
Space group Pbam (No. 55)
Unique sites:
Tm  0.000  0.000  0.000 [2 per cell]
Tm  0.118  0.426  0.000 [4 per cell]
Tm  0.240  0.204  0.000 [4 per cell]
Mg  0.086  0.851  0.500 [4 per cell]
Mg  0.207  0.563  0.500 [4 per cell]
Cd  0.040  0.301  0.500 [4 per cell]

Output
Energy of formation   -0.11 eV per atom
D(E_F)   21.359 states/eV per cell


No. 8
Tm2MgCd4: relaxed, GGA-PBE.

abc: 5.0095 5.0095 24.7914
angles: 90.00 90.00 120.00
Space group R-3m (No. 166, hexagonal axes)
Unique sites:
Tm  0.0000  0.0000  0.2475 [6 per cell]
Mg  0.0000  0.0000  0.5000 [3 per cell]
Cd  0.0000  0.0000  0.1221 [6 per cell]
Cd  0.0000  0.0000  0.3719 [6 per cell]

Output
Energy of formation   -0.09 eV per atom
D(E_F)   12.854 states/eV per cell


No. 9
Tm2Mg3Cd3: relaxed, GGA-PBE.

abc: 5.0697 5.0697 24.8726
angles: 90.00 90.00 120.00
Space group R3m (No. 160, hexagonal axes)
Unique sites:
Tm  0.0000  0.0000  0.0000 [3 per cell]
Tm  0.0000  0.0000  0.4943 [3 per cell]
Mg  0.0000  0.0000  0.2460 [3 per cell]
Mg  0.0000  0.0000  0.6210 [3 per cell]
Mg  0.0000  0.0000  0.7477 [3 per cell]
Cd  0.0000  0.0000  0.1229 [3 per cell]
Cd  0.0000  0.0000  0.3687 [3 per cell]
Cd  0.0000  0.0000  0.8758 [3 per cell]

Output
Energy of formation   -0.23 eV per atom
D(E_F)   7.233 states/eV per cell


No. 10
Tm4Mg2Cd: relaxed, GGA-PBE.

abc: 7.964 6.271 8.632
angles: 90.00 115.24 90.00
Space group P2_1/m (No. 11)
Unique sites:
Tm  0.120  0.250  0.069 [2 per cell]
Tm  0.124  0.504  0.721 [4 per cell]
Tm  0.266  0.750  0.309 [2 per cell]
Mg  0.287  0.250  0.486 [2 per cell]
Mg  0.471  0.750  0.056 [2 per cell]
Cd  0.460  0.750  0.700 [2 per cell]

Output
Energy of formation   0.03 eV per atom
D(E_F)   16.181 states/eV per cell


No. 11
TmMg3Cd: relaxed, GGA-PBE.

abc: 7.4846 7.4846 8.2268
angles: 90.00 90.00 120.00
Space group R3m (No. 160, hexagonal axes)
Unique sites:
Tm  0.0000  0.0000  0.0000 [3 per cell]
Mg  0.0690  0.5345  0.0170 [9 per cell]
Cd  0.0000  0.0000  0.6308 [3 per cell]

Output
Energy of formation   0.15 eV per atom
D(E_F)   9.683 states/eV per cell


No. 12
Tm2MgCd4: relaxed, GGA-PBE.

abc: 5.156 5.156 15.439
angles: 90.00 90.00 90.00
Space group I4/mmm (No. 139)
Unique sites:
Tm  0.000  0.000  0.115 [4 per cell]
Mg  0.000  0.000  0.500 [2 per cell]
Cd  0.000  0.000  0.314 [4 per cell]
Cd  0.000  0.500  0.000 [4 per cell]

Output
Energy of formation   0.22 eV per atom
D(E_F)   11.848 states/eV per cell


Please write out number 12 again, unchanged.
Tm2MgCd4: relaxed, GGA-PBE.

abc: 5.156 5.156 15.439
angles: 90.00 90.00 90.00
Space group I4/mmm (No. 139)
Unique sites:
Tm  0.000  0.000  0.115 [4 per cell]
Mg  0.000  0.000  0.500 [2 per cell]
Cd  0.000  0.000  0.314 [4 per cell]
Cd  0.000  0.500  0.000 [4 per cell]

Output
Energy of formation   0.22 eV per atom
D(E_F)   11.848 states/eV per cell


Question: Look up the energy of formation of the eleventh one.
Answer: 0.15 eV per atom


Question: What is the D(E_F) in the sixth record?
Answer: 11.945 states/eV per cell